No. 1
A relaxed ReMo3 crystal. Source: Alexandria, functional PBE.

Results
symmetry: Immm
mass density: 12.6 g/cm³
E_form: 0.03 eV/atom
final energy: -11.2091 eV per atom
DOS(E_F): 0.854 states/eV/atom
total magnetization: 0.00 μB per formula unit

Cell: 5.228 5.228 5.228 Å, 144.96 129.60 62.86°
Fractional positions:
Re 0.000 0.000 0.000
Mo 0.252 0.752 0.500
Mo 0.500 0.500 0.000
Mo 0.748 0.248 0.500

No. 2
A relaxed BaLi4Cd2 crystal. Source: Alexandria, functional PBE.

Results
symmetry: I4/mmm
mass density: 3.2 g/cm³
E_form: 0.05 eV/atom
final energy: -1.5822 eV per atom
DOS(E_F): 0.559 states/eV/atom
E above lowest polymorph: 190 meV per atom
total magnetization: 0.00 μB per formula unit

Cell: 6.412 6.412 6.412 Å, 109.72 109.72 108.97°
Fractional positions:
Ba 0.000 0.000 0.000
Li 0.251 0.500 0.751
Li 0.500 0.251 0.751
Li 0.500 0.749 0.249
Li 0.749 0.500 0.249
Cd 0.250 0.750 0.500
Cd 0.750 0.250 0.500